[1]
# CsCu2AgI4 PBE optimized geometry
# Calculated volume = 676.63 Å³/cell
# Energy relative to the elements, uncorrected = -387.0 kJ/mol of formula units
data_CsCu2AgI4
_chemical_formula_sum 'Cs2 Cu4 Ag2 I8'
_space_group_name_H-M_alt 'I 2 2 2'
_space_group_IT_number 23
_cell_length_a 7.420
_cell_length_b 9.425
_cell_length_c 9.675
_cell_angle_alpha 90.00
_cell_angle_beta 90.00
_cell_angle_gamma 90.00
loop_
_space_group_symop_operation_xyz
'x,y,z'
'-x,-y,z'
'x,-y,-z'
'-x,y,-z'
'x+1/2,y+1/2,z+1/2'
'-x+1/2,-y+1/2,z+1/2'
'x+1/2,-y+1/2,-z+1/2'
'-x+1/2,y+1/2,-z+1/2'
loop_
_atom_site_label
_atom_site_type_symbol
_atom_site_fract_x
_atom_site_fract_y
_atom_site_fract_z
Cs1 Cs 0.000 0.000 0.000
Cu1 Cu 0.000 0.500 0.134
Ag1 Ag 0.000 0.000 0.500
I1 I 0.247 0.164 0.333

***

[2]
# Ac4Mg5Sc PBE optimized geometry
# Calculated volume = 324.29 Å³/cell
# E_form = -46.3 meV per atom
data_Ac4Mg5Sc
_chemical_formula_sum 'Ac4 Mg5 Sc1'
_space_group_name_H-M_alt 'P 4/m m m'
_space_group_IT_number 123
_space_group_name_Hall '-P 4 2'
_cell_length_a 4.007
_cell_length_b 4.007
_cell_length_c 20.202
_cell_angle_alpha 90.00
_cell_angle_beta 90.00
_cell_angle_gamma 90.00
loop_
_atom_site_label
_atom_site_type_symbol
_atom_site_fract_x
_atom_site_fract_y
_atom_site_fract_z
Ac1 Ac 0.000 0.000 0.106
Ac2 Ac 0.000 0.000 0.315
Mg1 Mg 0.500 0.500 0.000
Mg2 Mg 0.500 0.500 0.210
Mg3 Mg 0.500 0.500 0.423
Sc1 Sc 0.000 0.000 0.500

***

[3]
# FeReSi2 PBE optimized geometry
# Calculated volume = 50.93 Å³/cell
# Energy relative to the elements, uncorrected = -30.7 kJ/mol of formula units
data_FeReSi2
_chemical_formula_sum 'Fe1 Re1 Si2'
_space_group_name_H-M_alt 'P 1 2/m 1'
_space_group_IT_number 10
_cell_length_a 4.215
_cell_length_b 2.761
_cell_length_c 4.732
_cell_angle_alpha 90.00
_cell_angle_beta 112.37
_cell_angle_gamma 90.00
loop_
_space_group_symop_operation_xyz
'x,y,z'
'-x,-y,-z'
'-x,y,-z'
'x,-y,z'
loop_
_atom_site_label
_atom_site_type_symbol
_atom_site_fract_x
_atom_site_fract_y
_atom_site_fract_z
Fe1 Fe 0.000 0.000 0.000
Re1 Re 0.000 0.500 0.500
Si1 Si 0.500 0.000 0.500
Si2 Si 0.500 0.500 0.000

***

[4]
# KPt2SeCl PBE optimized geometry
# Calculated volume = 145.39 Å³/cell
# Energy relative to the elements, uncorrected = -95.0 kJ/mol of formula units
data_KPt2SeCl
_chemical_formula_sum 'K1 Pt2 Se1 Cl1'
_space_group_name_H-M_alt 'P 4/m m m'
_space_group_IT_number 123
_space_group_name_Hall '-P 4 2'
_cell_length_a 4.643
_cell_length_b 4.643
_cell_length_c 6.743
_cell_angle_alpha 90.00
_cell_angle_beta 90.00
_cell_angle_gamma 90.00
loop_
_atom_site_label
_atom_site_type_symbol
_atom_site_fract_x
_atom_site_fract_y
_atom_site_fract_z
K1 K 0.000 0.000 0.000
Pt1 Pt 0.000 0.500 0.500
Se1 Se 0.500 0.500 0.500
Cl1 Cl 0.500 0.500 0.000

***

[5]
# LaBe2Mo PBE optimized geometry
# Calculated volume = 258.99 Å³/cell
# E above lowest polymorph = 640 meV/atom
# E_form = 812.8 meV per atom
data_LaBe2Mo
_chemical_formula_sum 'La4 Be8 Mo4'
_space_group_name_H-M_alt 'F -4 3 m'
_space_group_IT_number 216
_space_group_name_Hall 'F -4 2 3'
_cell_length_a 6.374
_cell_length_b 6.374
_cell_length_c 6.374
_cell_angle_alpha 90.00
_cell_angle_beta 90.00
_cell_angle_gamma 90.00
loop_
_atom_site_label
_atom_site_type_symbol
_atom_site_fract_x
_atom_site_fract_y
_atom_site_fract_z
La1 La 0.000 0.000 0.000
Be1 Be 0.000 0.000 0.500
Be2 Be 0.250 0.250 0.250
Mo1 Mo 0.250 0.250 0.750

***

[6]
# Ba2MgIn2As4 PBE optimized geometry
# Calculated volume = 515.61 Å³/cell
# E_form = -670.6 meV per atom
data_Ba2MgIn2As4
_chemical_formula_sum 'Ba4 Mg2 In4 As8'
_space_group_name_H-M_alt 'C 1 2/m 1'
_space_group_IT_number 12
_cell_length_a 16.706
_cell_length_b 4.239
_cell_length_c 7.640
_cell_angle_alpha 90.00
_cell_angle_beta 107.65
_cell_angle_gamma 90.00
loop_
_space_group_symop_operation_xyz
'x,y,z'
'-x,-y,-z'
'-x,y,-z'
'x,-y,z'
'x+1/2,y+1/2,z'
'-x+1/2,-y+1/2,-z'
'-x+1/2,y+1/2,-z'
'x+1/2,-y+1/2,z'
loop_
_atom_site_label
_atom_site_type_symbol
_atom_site_fract_x
_atom_site_fract_y
_atom_site_fract_z
Ba1 Ba 0.121 0.000 0.045
Mg1 Mg 0.000 0.000 0.500
In1 In 0.165 0.500 0.498
As1 As 0.013 0.500 0.261
As2 As 0.221 0.000 0.719

***

[7]
# NdSm2YBi5 PBE optimized geometry
# Calculated volume = 370.03 Å³/cell
# E_form = 27.7 meV per atom
data_NdSm2YBi5
_chemical_formula_sum 'Nd1 Sm2 Y1 Bi5'
_space_group_name_H-M_alt 'P 4/m m m'
_space_group_IT_number 123
_space_group_name_Hall '-P 4 2'
_cell_length_a 5.566
_cell_length_b 5.566
_cell_length_c 11.944
_cell_angle_alpha 90.00
_cell_angle_beta 90.00
_cell_angle_gamma 90.00
loop_
_atom_site_label
_atom_site_type_symbol
_atom_site_fract_x
_atom_site_fract_y
_atom_site_fract_z
Nd1 Nd 0.000 0.000 0.000
Sm1 Sm 0.500 0.500 0.227
Y1 Y 0.000 0.000 0.500
Bi1 Bi 0.000 0.000 0.257
Bi2 Bi 0.000 0.500 0.000
Bi3 Bi 0.500 0.500 0.500

***

[8]
# YTl2Zn PBE optimized geometry
# Calculated volume = 97.07 Å³/cell
# E_form = -209.5 meV per atom
data_YTl2Zn
_chemical_formula_sum 'Y1 Tl2 Zn1'
_space_group_name_H-M_alt 'P 4/m m m'
_space_group_IT_number 123
_space_group_name_Hall '-P 4 2'
_cell_length_a 4.623
_cell_length_b 4.623
_cell_length_c 4.542
_cell_angle_alpha 90.00
_cell_angle_beta 90.00
_cell_angle_gamma 90.00
loop_
_atom_site_label
_atom_site_type_symbol
_atom_site_fract_x
_atom_site_fract_y
_atom_site_fract_z
Y1 Y 0.000 0.000 0.000
Tl1 Tl 0.000 0.500 0.500
Zn1 Zn 0.500 0.500 0.000

***

> What is the calculated volume in the sixth record?

515.61 Å³/cell